[1]
## TbPm4Bi2 (PBE)

Data for crystalline TbPm4Bi2 at its relaxed geometry.

The space group is I4/mmm (No. 139) and the conventional cell measures 5.447, 5.447 and 17.192 Å, with angles of 90.00, 90.00 and 90.00 degrees. The distinct sites, in fractional coordinates, are Tb at (0.000, 0.000, 0.000), Pm at (0.000, 0.000, 0.182), Pm at (0.000, 0.500, 0.000) and Bi at (0.000, 0.000, 0.366).

The value obtained for the formation enthalpy at 0 K is 179 meV/atom. The magnetization is 0.00 μB/atom. The density of states at the Fermi level comes out at 14.96 states/eV per cell.

[2]
## Sr5MnS6 (PBE)

Data for crystalline Sr5MnS6 at its relaxed geometry.

The space group is C2/m (No. 12) and the conventional cell measures 7.261, 12.608 and 7.250 Å, with angles of 90.00, 109.36 and 90.00 degrees. The distinct sites, in fractional coordinates, are Sr at (0.000, 0.000, 0.000), Sr at (0.000, 0.167, 0.500), Sr at (0.000, 0.333, 0.000), Mn at (0.000, 0.500, 0.500), S at (0.232, 0.500, 0.266) and S at (0.238, 0.342, 0.740).

The magnetization is 0.42 μB/atom. The density of states at the Fermi level comes out at 0.00 states/eV per cell. As for the uncorrected formation energy: -1813 meV per atom.

[3]
## La3Al4Pd2 (PBE)

Data for crystalline La3Al4Pd2 at its relaxed geometry.

The space group is C2/m (No. 12) and the conventional cell measures 11.014, 4.614 and 8.573 Å, with angles of 90.00, 102.57 and 90.00 degrees. The distinct sites, in fractional coordinates, are La at (0.000, 0.000, 0.000), La at (0.108, 0.500, 0.701), Al at (0.111, 0.000, 0.418), Al at (0.221, 0.500, 0.079) and Pd at (0.188, 0.500, 0.360).

The value obtained for the formation enthalpy at 0 K is -627 meV/atom. The magnetization is 0.00 μB/atom. The density of states at the Fermi level comes out at 15.01 states/eV per cell.

[4]
## Na2SbBr5 (PBE)

Data for crystalline Na2SbBr5 at its relaxed geometry.

The space group is P1 (No. 1) and the conventional cell measures 5.942, 7.518 and 7.710 Å, with angles of 88.97, 67.41 and 66.73 degrees. The distinct sites, in fractional coordinates, are Na at (0.000, 0.000, 0.000), Na at (0.163, 0.228, 0.447), Sb at (0.589, 0.614, 0.224), Br at (0.038, 0.614, 0.223), Br at (0.282, 0.847, 0.581), Br at (0.491, 0.961, 0.058), Br at (0.673, 0.268, 0.389) and Br at (0.870, 0.381, 0.867).

The magnetization is 0.00 μB/atom. As for the uncorrected formation energy: -1055 meV per atom.

[5]
## Pa2BC (PBE)

Data for crystalline Pa2BC at its relaxed geometry.

The space group is R-3m (No. 166, hexagonal axes) and the conventional cell measures 3.6587, 3.6587 and 17.7926 Å, with angles of 90.00, 90.00 and 120.00 degrees. The distinct sites, in fractional coordinates, are Pa at (0.0000, 0.0000, 0.2476), B at (0.0000, 0.0000, 0.0000) and C at (0.0000, 0.0000, 0.5000).

The value obtained for the formation enthalpy at 0 K is -195 meV/atom. The magnetization is 0.00 μB/atom. The density of states at the Fermi level comes out at 15.33 states/eV per cell.

[6]
## Fe2Tc (PBE)

Data for crystalline Fe2Tc at its relaxed geometry.

The space group is Cmcm (No. 63) and the conventional cell measures 7.757, 4.453 and 4.071 Å, with angles of 90.00, 90.00 and 90.00 degrees. The distinct sites, in fractional coordinates, are Fe at (0.174, 0.163, 0.250) and Tc at (0.000, 0.316, 0.750).

The value obtained for the formation enthalpy at 0 K is 52 meV/atom. The magnetization is 0.00 μB/atom. The density of states at the Fermi level comes out at 17.16 states/eV per cell.